SmCdRhAu | GGA-PBE | relaxed

a b c (Å): 6.912 6.912 6.912
angles (deg): 90.00 90.00 90.00
Sites, in units of the cell vectors:
Sm  0.000  0.000  0.000
Sm  0.000  0.500  0.500
Sm  0.500  0.000  0.500
Sm  0.500  0.500  0.000
Cd  0.000  0.000  0.500
Cd  0.000  0.500  0.000
Cd  0.500  0.000  0.000
Cd  0.500  0.500  0.500
Rh  0.250  0.250  0.250
Rh  0.250  0.750  0.750
Rh  0.750  0.250  0.750
Rh  0.750  0.750  0.250
Au  0.250  0.250  0.750
Au  0.250  0.750  0.250
Au  0.750  0.250  0.250
Au  0.750  0.750  0.750

Summary:
Its crystal system is cubic. As for the calculated formation energy: -503.5 meV per atom. As for the space-group type: F-43m (216). Its magnetization is 0.00 μB per formula unit.